Entry 1:
{
  "formula": "Dy3Bi3Te",
  "functional": "PBE",
  "state": "relaxed",
  "lattice_angstrom": [[7.661, 0.383, 0.559], [-3.070, 7.029, 0.559], [-0.182, -0.293, 8.334]],
  "species": ["Dy", "Dy", "Bi", "Te", "Dy", "Bi", "Bi", "Dy", "Dy", "Bi", "Bi", "Dy", "Bi", "Te"],
  "frac_coords": [[0.838, 0.503, 0.690], [0.058, 0.058, 0.780], [0.401, 0.401, 0.658], [0.268, 0.268, 0.066], [0.162, 0.497, 0.310], [0.161, 0.839, 0.500], [0.225, 0.775, 0.000], [0.497, 0.162, 0.310], [0.942, 0.942, 0.220], [0.599, 0.599, 0.342], [0.775, 0.225, 0.000], [0.503, 0.838, 0.690], [0.839, 0.161, 0.500], [0.732, 0.732, 0.934]],
  "dos_at_fermi_per_ev_cell": 5.09,
  "raw_formation_energy_ev_per_fu": -4.69,
  "sg": "C2/m",
  "final_energy_ev_per_atom": -4.7544
}


Entry 2:
{
  "formula": "Dy8Bi3Te4",
  "functional": "PBE",
  "state": "relaxed",
  "lattice_angstrom": [[-3.111, 8.007, -1.318], [-5.272, -6.287, 2.974], [5.503, -1.502, 6.605]],
  "species": ["Te", "Bi", "Dy", "Bi", "Dy", "Te", "Dy", "Dy", "Dy", "Dy", "Dy", "Te", "Dy", "Bi", "Te"],
  "frac_coords": [[0.000, 0.000, 0.000], [0.500, 0.000, 0.500], [0.002, 0.748, 0.748], [0.500, 0.500, 0.500], [0.000, 0.744, 0.256], [0.000, 0.000, 0.500], [0.482, 0.742, 0.742], [0.518, 0.258, 0.258], [0.500, 0.250, 0.750], [0.500, 0.750, 0.250], [0.000, 0.256, 0.744], [0.500, 0.000, 0.000], [0.998, 0.252, 0.252], [0.500, 0.500, 0.000], [0.000, 0.500, 0.000]],
  "dos_at_fermi_per_ev_cell": 8.24,
  "raw_formation_energy_ev_per_fu": -14.62,
  "sg": "C2/m",
  "final_energy_ev_per_atom": -5.0430
}


Entry 3:
{
  "formula": "Dy5Bi4Te",
  "functional": "PBE",
  "state": "relaxed",
  "lattice_angstrom": [[6.298, 0.000, 0.000], [3.149, 7.037, 0.000], [3.149, 0.000, 7.037]],
  "species": ["Dy", "Dy", "Bi", "Bi", "Te", "Bi", "Bi", "Dy", "Dy", "Dy"],
  "frac_coords": [[0.501, 0.000, 0.000], [0.302, 0.799, 0.598], [0.401, 0.399, 0.801], [0.202, 0.199, 0.399], [0.001, 0.000, 0.000], [0.800, 0.801, 0.601], [0.601, 0.601, 0.199], [0.102, 0.598, 0.201], [0.700, 0.201, 0.402], [0.900, 0.402, 0.799]],
  "dos_at_fermi_per_ev_cell": 2.58,
  "raw_formation_energy_ev_per_fu": -9.67,
  "sg": "I4/m",
  "final_energy_ev_per_atom": -5.1349
}


Entry 4:
{
  "formula": "Dy5Bi2Te",
  "functional": "PBE",
  "state": "relaxed",
  "lattice_angstrom": [[-5.602, -2.022, -1.464], [4.423, 0.937, -5.370], [4.312, -12.893, 1.301]],
  "species": ["Dy", "Bi", "Dy", "Bi", "Te", "Dy", "Dy", "Dy", "Dy", "Dy", "Dy", "Te", "Dy", "Bi", "Bi", "Dy"],
  "frac_coords": [[0.621, 0.241, 0.938], [0.812, 0.624, 0.089], [0.056, 0.112, 0.390], [0.188, 0.376, 0.589], [0.760, 0.520, 0.750], [0.621, 0.241, 0.562], [0.944, 0.888, 0.610], [0.944, 0.888, 0.890], [0.379, 0.759, 0.062], [0.056, 0.112, 0.110], [0.379, 0.759, 0.438], [0.240, 0.480, 0.250], [0.364, 0.728, 0.750], [0.812, 0.624, 0.411], [0.188, 0.376, 0.911], [0.636, 0.272, 0.250]],
  "dos_at_fermi_per_ev_cell": 13.99,
  "raw_formation_energy_ev_per_fu": -3.99,
  "sg": "Cmcm",
  "final_energy_ev_per_atom": -4.7374
}